No. 1
This record from the Alexandria database describes a geometry-optimized Zr2TlBrN structure. The functional is PBE.

Cell: 4.4094 6.3063 4.4094 Å, 90.00 90.00 90.00°
With the nearest neighbours (Å) after each atom.
Atoms (fractional coordinates):
Tl1 0.0000 0.5000 0.0000  4 Br 3.12, 2 N 3.15
Br1 0.5000 0.5000 0.5000  4 Tl 3.12
Zr1 0.0000 0.0000 0.5000  2 N 2.20
Zr2 0.5000 0.0000 0.0000  2 N 2.20
N1 0.0000 0.0000 0.0000  4 Zr 2.20

## Properties
* space-group type: No. 123

***

No. 2
This record from the Alexandria database describes a geometry-optimized TmBr4N2 structure. The functional is PBE.

Cell: 4.0750 6.9071 9.4171 Å, 94.88 102.50 90.00°
With the nearest neighbours (Å) after each atom.
Atoms (fractional coordinates):
Tm1 0.0000 0.0000 0.0000  6 Br 2.78-2.79
Br1 0.0606 0.6456 0.1212  1 Tm 2.78, 1 Br 2.87
Br2 0.9394 0.3544 0.8788  1 Tm 2.78, 1 Br 2.87
Br3 0.4027 0.8792 0.8054  2 Tm 2.79
Br4 0.5973 0.1208 0.1946  2 Tm 2.79
N1 0.2616 0.2615 0.5231  5 Br 3.70-3.86, 6 N 3.93-4.14
N2 0.7384 0.7385 0.4769  5 Br 3.70-3.86, 6 N 3.93-4.14

## Properties
* space-group type: No. 12

***

No. 3
This record from the Alexandria database describes a geometry-optimized TmBr3N structure. The functional is PBE.

Cell: 10.6827 5.5264 7.5633 Å, 68.53 78.10 58.82°
With the nearest neighbours (Å) after each atom.
Atoms (fractional coordinates):
Tm1 0.9660 0.3904 0.4820  1 N 2.10
Tm2 0.4021 0.9094 0.5725  1 N 2.10
Br1 0.2155 0.2554 0.2538  2 Tm 2.76-2.85
Br2 0.1526 0.0444 0.8006  2 Tm 2.76-2.85
Br3 0.4340 0.3810 0.5654  2 Tm 2.78
Br4 0.5993 0.8857 0.2254  1 N 1.79
Br5 0.9341 0.9188 0.4891  2 Tm 2.78
Br6 0.7688 0.4141 0.8291  1 N 1.79
N1 0.5843 0.6381 0.7499  1 Br 1.79
N2 0.7838 0.6617 0.3046  1 Br 1.79

## Properties
* space-group type: No. 12

***

No. 4
This record from the Alexandria database describes a geometry-optimized UBrN structure. The functional is PBE.

Cell: 3.8354 3.8354 9.3859 Å, 90.00 90.00 90.00°
With the nearest neighbours (Å) after each atom.
Atoms (fractional coordinates):
U1 0.5000 0.0000 0.1240  4 N 2.24
U2 0.0000 0.5000 0.8760  4 N 2.24
Br1 0.5000 0.0000 0.6884  4 U 3.23, 4 N 3.50
Br2 0.0000 0.5000 0.3116  4 U 3.23, 4 N 3.50
N1 0.5000 0.5000 0.0000  4 U 2.24
N2 0.0000 0.0000 0.0000  4 U 2.24

## Properties
* space-group type: No. 129

***

No. 5
This record from the Alexandria database describes a geometry-optimized UBr3N structure. The functional is PBE.

Cell: 6.1541 6.1544 10.3288 Å, 96.47 96.26 68.26°
With the nearest neighbours (Å) after each atom.
Atoms (fractional coordinates):
U1 0.9339 0.4000 0.5273  8 Br 2.89-3.20
U2 0.4342 0.8997 0.5273  8 Br 2.89-3.20
Br1 0.2237 0.1874 0.3110  2 U 2.89
Br2 0.1445 0.1124 0.7436  2 U 2.89
Br3 0.4455 0.4121 0.6128  4 U 3.20, 2 Br 3.51, 1 N 3.58
Br4 0.5873 0.5511 0.3109  2 U 2.89
Br5 0.9227 0.8876 0.4417  4 U 3.20, 2 Br 3.51
Br6 0.7809 0.7487 0.7437  2 U 2.89
N1 0.4887 0.4532 0.9622  4 Br 3.58-3.98, 2 N 3.91-3.92
N2 0.8790 0.8470 0.0919  4 Br 3.58-3.99, 2 N 3.91-3.92

## Properties
* space-group type: No. 2

***

No. 6
This record from the Alexandria database describes a geometry-optimized UBr4N2 structure. The functional is PBE.

Cell: 5.2585 5.3156 11.0639 Å, 76.09 75.75 59.64°
With the nearest neighbours (Å) after each atom.
Atoms (fractional coordinates):
U1 0.0000 0.0000 0.0000  2 Br 2.67
Br1 0.3162 0.3176 0.0486  3 U 3.07-3.10, 3 Br 3.20-3.23
Br2 0.0737 0.0889 0.7488  1 U 2.67
Br3 0.6838 0.6824 0.9514  3 U 3.07-3.10, 3 Br 3.20-3.23
Br4 0.9263 0.9112 0.2512  1 U 2.67
N1 0.1991 0.2008 0.3997  5 Br 3.42-3.73, 3 N 3.71-3.72
N2 0.8009 0.7991 0.6003  5 Br 3.42-3.73, 3 N 3.71-3.72

## Properties
* space-group type: No. 12

***

No. 7
This record from the Alexandria database describes a geometry-optimized UBrN structure. The functional is PBE.

Cell: 4.9568 3.7701 3.7701 Å, 120.00 90.00 90.00°
With the nearest neighbours (Å) after each atom.
Atoms (fractional coordinates):
U1 0.1663 0.0000 0.0000  3 N 2.18
Br1 0.6669 0.6667 0.3333  6 U 3.30, 6 N 3.30
N1 0.1668 0.3333 0.6667  3 U 2.18

## Properties
* space-group type: No. 187

***

No. 8
This record from the Alexandria database describes a geometry-optimized UBrN structure. The functional is PBE.

Cell: 3.8133 7.2358 9.3507 Å, 90.00 90.00 90.00°
With the nearest neighbours (Å) after each atom.
Atoms (fractional coordinates):
Br1 0.2500 0.5345 0.3330  5 U 3.16-3.37, 4 N 3.38-3.47
Br2 0.7500 0.9655 0.8330  5 U 3.16-3.37, 4 N 3.38-3.47
Br3 0.2500 0.0345 0.1670  5 U 3.16-3.37, 4 N 3.38-3.47
Br4 0.7500 0.4655 0.6670  5 U 3.16-3.37, 4 N 3.38-3.47
U1 0.2500 0.8343 0.5840  3 N 2.17
U2 0.7500 0.1657 0.4160  3 N 2.17
U3 0.2500 0.3343 0.9160  3 N 2.17
U4 0.7500 0.6657 0.0840  3 N 2.17
N1 0.7500 0.8773 0.4776  3 U 2.17
N2 0.2500 0.6227 0.9776  3 U 2.17
N3 0.7500 0.3773 0.0224  3 U 2.17
N4 0.2500 0.1227 0.5224  3 U 2.17

## Properties
* space-group type: No. 62

***

No. 9
This record from the Alexandria database describes a geometry-optimized VBrN2 structure. The functional is PBE.

Cell: 3.9178 3.9178 3.9178 Å, 60.00 60.00 60.00°
With the nearest neighbours (Å) after each atom.
Atoms (fractional coordinates):
V1 0.0000 0.0000 0.0000  8 N 2.40
Br1 0.5000 0.5000 0.5000  8 N 2.40
N1 0.2500 0.2500 0.2500  4 Br 2.40, 4 V 2.40
N2 0.7500 0.7500 0.7500  4 Br 2.40, 4 V 2.40

## Properties
* space-group type: No. 225
* offset from the most stable computed form: 1.539 eV per atom

***

No. 10
This record from the Alexandria database describes a geometry-optimized VBrN3 structure. The functional is PBE.

Cell: 3.8439 3.8439 3.8439 Å, 90.00 90.00 90.00°
With the nearest neighbours (Å) after each atom.
Atoms (fractional coordinates):
V1 0.5000 0.5000 0.5000  12 N 2.72
Br1 0.0000 0.0000 0.0000  6 N 1.92
N1 0.0000 0.5000 0.0000  2 Br 1.92
N2 0.0000 0.0000 0.5000  2 Br 1.92
N3 0.5000 0.0000 0.0000  2 Br 1.92

## Properties
* space-group type: No. 221

***

No. 11
This record from the Alexandria database describes a geometry-optimized VBr2N structure. The functional is PBE.

Cell: 10.3061 10.3061 10.3061 Å, 21.45 21.45 21.45°
With the nearest neighbours (Å) after each atom.
Atoms (fractional coordinates):
V1 0.5000 0.5000 0.5000  6 Br 2.64
Br1 0.8812 0.8812 0.8812  3 V 2.64
Br2 0.1188 0.1188 0.1188  3 V 2.64
N1 0.0000 0.0000 0.0000  2 Br 3.59, 6 N 3.84

## Properties
* space-group type: No. 166
* offset from the most stable computed form: 0.000 eV per atom

***

No. 12
This record from the Alexandria database describes a geometry-optimized VBrN2 structure. The functional is PBE.

Cell: 6.8534 6.8534 6.8534 Å, 26.49 26.49 26.49°
With the nearest neighbours (Å) after each atom.
Atoms (fractional coordinates):
V1 0.0000 0.0000 0.0000  2 N 1.80
Br1 0.5000 0.5000 0.5000  6 N 2.36
N1 0.9091 0.9091 0.9091  1 V 1.80
N2 0.0909 0.0909 0.0909  1 V 1.80

## Properties
* space-group type: No. 166
* offset from the most stable computed form: 1.531 eV per atom

***

No. 13
This record from the Alexandria database describes a geometry-optimized VBrN2 structure. The functional is PBE.

Cell: 6.5080 6.5080 6.5080 Å, 26.82 26.82 26.82°
With the nearest neighbours (Å) after each atom.
Atoms (fractional coordinates):
V1 0.5000 0.5000 0.5000  6 N 2.02
Br1 0.0000 0.0000 0.0000  2 N 2.10
N1 0.8881 0.8881 0.8881  3 V 2.02, 1 Br 2.10
N2 0.1119 0.1119 0.1119  3 V 2.02, 1 Br 2.10

## Properties
* space-group type: No. 166
* offset from the most stable computed form: 0.000 eV per atom

***

No. 14
This record from the Alexandria database describes a geometry-optimized VBrN3 structure. The functional is PBE.

Cell: 3.9355 3.9355 3.9355 Å, 90.00 90.00 90.00°
With the nearest neighbours (Å) after each atom.
Atoms (fractional coordinates):
V1 0.0000 0.0000 0.0000  6 N 1.97
Br1 0.5000 0.5000 0.5000  12 N 2.78
N1 0.0000 0.5000 0.0000  2 V 1.97
N2 0.0000 0.0000 0.5000  2 V 1.97
N3 0.5000 0.0000 0.0000  2 V 1.97

## Properties
* space-group type: No. 221

***

No. 15
This record from the Alexandria database describes a geometry-optimized V3BrN structure. The functional is PBE.

Cell: 4.0303 4.0303 4.0303 Å, 90.00 90.00 90.00°
With the nearest neighbours (Å) after each atom.
Atoms (fractional coordinates):
V1 0.0000 0.5000 0.0000  2 N 2.02
V2 0.0000 0.0000 0.5000  2 N 2.02
V3 0.5000 0.0000 0.0000  2 N 2.02
Br1 0.5000 0.5000 0.5000  12 V 2.85
N1 0.0000 0.0000 0.0000  6 V 2.02

## Properties
* space-group type: No. 221
* offset from the most stable computed form: 0.000 eV per atom

***

No. 16
This record from the Alexandria database describes a geometry-optimized VBr4N2 structure. The functional is PBE.

Cell: 3.7433 8.9149 7.3944 Å, 99.30 105.97 80.47°
With the nearest neighbours (Å) after each atom.
Atoms (fractional coordinates):
V1 0.0000 0.0000 0.0000  6 Br 2.37-2.57
Br1 0.1394 0.7427 0.0697  1 V 2.37
Br2 0.8606 0.2573 0.9303  1 V 2.37
Br3 0.3936 0.9345 0.7565  2 V 2.57
Br4 0.6064 0.0655 0.2435  2 V 2.57
N1 0.0620 0.4388 0.4930  1 N 1.11
N2 0.9380 0.5612 0.5070  1 N 1.11

## Properties
* space-group type: No. 2

***

No. 17
This record from the Alexandria database describes a geometry-optimized VBrN2 structure. The functional is PBE.

Cell: 5.8818 5.8818 5.8873 Å, 60.03 60.03 90.00°
With the nearest neighbours (Å) after each atom.
Atoms (fractional coordinates):
V1 0.5000 0.5000 0.0000  4 N 1.80
V2 0.2500 0.7500 0.5000  4 N 1.80
Br1 0.0000 0.0000 0.0000  12 N 3.44-3.46, 4 Br 3.60, 4 V 3.60
Br2 0.7500 0.2500 0.5000  12 N 3.44-3.46, 4 Br 3.60, 4 V 3.60
N1 0.3729 0.1250 0.2500  2 V 1.80
N2 0.3771 0.6250 0.2500  2 V 1.80
N3 0.3750 0.6271 0.7500  2 V 1.80
N4 0.8750 0.6229 0.7500  2 V 1.80

## Properties
* space-group type: No. 122
* offset from the most stable computed form: 0.098 eV per atom

***

No. 18
This record from the Alexandria database describes a geometry-optimized VBr2N structure. The functional is PBE.

Cell: 7.6805 7.6805 6.9654 Å, 56.54 56.54 90.00°
With the nearest neighbours (Å) after each atom.
Atoms (fractional coordinates):
V1 0.0000 0.0000 0.0000  4 Br 2.50
V2 0.7500 0.2500 0.5000  4 Br 2.50
Br1 0.7217 0.1250 0.2500  2 V 2.50
Br2 0.0283 0.6250 0.2500  2 V 2.50
Br3 0.3750 0.2783 0.7500  2 V 2.50
Br4 0.8750 0.9717 0.7500  2 V 2.50
N1 0.5000 0.5000 0.0000  4 Br 3.46
N2 0.2500 0.7500 0.5000  4 Br 3.46

## Properties
* space-group type: No. 122
* offset from the most stable computed form: 0.204 eV per atom

***

No. 19
This record from the Alexandria database describes a geometry-optimized VBr2N structure. The functional is PBE.

Cell: 4.7806 4.7806 4.7806 Å, 60.00 60.00 60.00°
With the nearest neighbours (Å) after each atom.
Atoms (fractional coordinates):
V1 0.5000 0.5000 0.5000  8 Br 2.93
Br1 0.2500 0.2500 0.2500  4 V 2.93, 4 N 2.93
Br2 0.7500 0.7500 0.7500  4 V 2.93, 4 N 2.93
N1 0.0000 0.0000 0.0000  8 Br 2.93

## Properties
* space-group type: No. 225
* offset from the most stable computed form: 0.441 eV per atom

***

No. 20
This record from the Alexandria database describes a geometry-optimized VBrN structure. The functional is PBE.

Cell: 3.2977 5.2429 7.1001 Å, 90.00 80.15 90.00°
With the nearest neighbours (Å) after each atom.
Atoms (fractional coordinates):
V1 0.6089 0.7500 0.7868  2 N 1.72-1.88
V2 0.3911 0.2500 0.2132  2 N 1.72-1.88
Br1 0.6252 0.2500 0.8532  3 V 2.54-2.67
Br2 0.3748 0.7500 0.1468  3 V 2.54-2.67
N1 0.8261 0.2500 0.3164  2 V 1.72-1.88
N2 0.1739 0.7500 0.6836  2 V 1.72-1.88

## Properties
* space-group type: No. 11

***

no.,E_form (uncorrected) (eV/atom)
1,-0.083
2,0.519
3,-0.663
4,-1.476
5,0.086
6,0.630
7,-1.142
8,-1.193
9,1.723
10,2.347
11,0.694
12,1.714
13,0.183
14,1.215
15,0.041
16,-0.513
17,0.281
18,0.898
19,1.135
20,-0.336